Record 1
Density functional theory data (PBE) for an optimized crystal structure of Os3Pb5.

## Properties
VASP energy	-5.6817	eV per atom
energy relative to the lowest polymorph listed for this composition	0.000	eV per atom
SG	Cmmm
V	202.6	Å³ per cell

Cell lengths 7.639, 7.639, 3.500 Å; angles 90.00, 90.00, 97.25 degrees
Fractional positions:
Os 0.500 0.500 0.000
Os 0.659 0.341 0.500
Os 0.341 0.659 0.500
Pb 0.000 0.000 0.000
Pb 0.000 0.500 0.000
Pb 0.500 0.000 0.000
Pb 0.268 0.268 0.500
Pb 0.732 0.732 0.500



Record 2
Density functional theory data (PBE) for an optimized crystal structure of PmYEr2As4.

## Properties
VASP energy	-6.3931	eV per atom
SG	P2/m
V	199.7	Å³ per cell

Cell lengths 4.135, 7.157, 7.158 Å; angles 70.53, 90.00, 90.00 degrees
Fractional positions:
Pm 0.500 0.500 0.000
Y 0.000 0.500 0.500
Er 0.000 0.000 0.000
Er 0.500 0.000 0.500
As 0.000 0.757 0.744
As 0.000 0.243 0.256
As 0.500 0.755 0.251
As 0.500 0.245 0.749



Record 3
Density functional theory data (PBE) for an optimized crystal structure of In2PdPb2.

## Properties
VASP energy	-3.6607	eV per atom
energy relative to the lowest polymorph listed for this composition	0.000	eV per atom
SG	P4/mbm
V	264.4	Å³ per cell

Cell lengths 7.160, 7.160, 5.158 Å; angles 90.00, 90.00, 90.00 degrees
Fractional positions:
Pb 0.169 0.669 0.500
Pb 0.669 0.831 0.500
Pb 0.831 0.331 0.500
Pb 0.331 0.169 0.500
Pd 0.000 0.000 0.000
Pd 0.500 0.500 0.000
In 0.350 0.850 0.000
In 0.850 0.650 0.000
In 0.650 0.150 0.000
In 0.150 0.350 0.000



Record 4
Density functional theory data (PBE) for an optimized crystal structure of ScTlAg2Br6.

## Properties
VASP energy	-3.4003	eV per atom
SG	P1
V	310.9	Å³ per cell

Cell lengths 7.309, 7.307, 7.943 Å; angles 62.58, 62.55, 59.95 degrees
Fractional positions:
Sc 0.330 0.330 0.009
Tl 0.810 0.811 0.568
Ag 0.519 0.519 0.442
Ag 0.993 0.994 0.019
Br 0.562 0.266 0.227
Br 0.266 0.944 0.227
Br 0.944 0.562 0.228
Br 0.353 0.726 0.765
Br 0.726 0.156 0.765
Br 0.156 0.354 0.765



Record 5
Density functional theory data (PBE) for an optimized crystal structure of SrSiTc2.

## Properties
VASP energy	-6.7049	eV per atom
SG	P4/mmm
V	75.6	Å³ per cell

Cell lengths 3.226, 3.226, 7.266 Å; angles 90.00, 90.00, 90.00 degrees
Fractional positions:
Si 0.500 0.500 0.250
Sr 0.500 0.500 0.750
Tc 0.000 0.000 0.085
Tc 0.000 0.000 0.415



Record 6
Density functional theory data (PBE) for an optimized crystal structure of CeYH.

## Properties
VASP energy	-5.4709	eV per atom
energy relative to the lowest polymorph listed for this composition	0.000	eV per atom
SG	P4/nmm
V	119.1	Å³ per cell

Cell lengths 3.319, 3.319, 10.806 Å; angles 90.00, 90.00, 90.00 degrees
Fractional positions:
Y 0.000 0.500 0.141
Y 0.500 0.000 0.859
H 0.500 0.000 0.167
H 0.000 0.500 0.833
Ce 0.000 0.500 0.615
Ce 0.500 0.000 0.385



Record 7
Density functional theory data (PBE) for an optimized crystal structure of Pm4Ge2PSe.

## Properties
VASP energy	-5.9011	eV per atom
SG	P2/m
V	212.1	Å³ per cell

Cell lengths 4.151, 7.225, 7.469 Å; angles 108.71, 90.00, 90.00 degrees
Fractional positions:
Pm 0.500 0.240 0.241
Pm 0.500 0.760 0.759
Pm 0.000 0.244 0.751
Pm 0.000 0.756 0.249
Ge 0.500 0.000 0.500
Ge 0.000 0.500 0.500
P 0.000 0.000 0.000
Se 0.500 0.500 0.000



Record 8
Density functional theory data (PBE) for an optimized crystal structure of VRh2S6.

## Properties
VASP energy	-5.7709	eV per atom
SG	P4_2/mnm
V	321.5	Å³ per cell

Cell lengths 5.426, 5.426, 10.922 Å; angles 90.00, 90.00, 90.00 degrees
Fractional positions:
V 0.500 0.500 0.000
V 0.000 0.000 0.500
Rh 0.500 0.500 0.336
Rh 0.500 0.500 0.664
Rh 0.000 0.000 0.164
Rh 0.000 0.000 0.836
S 0.692 0.692 0.163
S 0.692 0.692 0.837
S 0.695 0.695 0.500
S 0.805 0.195 0.000
S 0.808 0.192 0.337
S 0.808 0.192 0.663
S 0.192 0.808 0.337
S 0.192 0.808 0.663
S 0.195 0.805 0.000
S 0.305 0.305 0.500
S 0.308 0.308 0.163
S 0.308 0.308 0.837



Record 9
Density functional theory data (PBE) for an optimized crystal structure of Cs3PdCl7.

## Properties
VASP energy	-3.1868	eV per atom
SG	P4/mbm
V	750.8	Å³ per cell

Cell lengths 7.342, 10.112, 10.112 Å; angles 90.00, 90.00, 90.00 degrees
Fractional positions:
Cs 0.500 0.179 0.679
Cs 0.500 0.679 0.821
Cs 0.500 0.321 0.179
Cs 0.500 0.821 0.321
Cs 0.000 0.500 0.500
Cs 0.000 0.000 0.000
Pd 0.000 0.000 0.500
Pd 0.000 0.500 0.000
Cl 0.773 0.384 0.884
Cl 0.773 0.616 0.116
Cl 0.773 0.116 0.384
Cl 0.773 0.884 0.616
Cl 0.227 0.384 0.884
Cl 0.227 0.884 0.616
Cl 0.227 0.116 0.384
Cl 0.227 0.616 0.116
Cl 0.500 0.000 0.000
Cl 0.500 0.500 0.500
Cl 0.000 0.835 0.335
Cl 0.000 0.335 0.165
Cl 0.000 0.665 0.835
Cl 0.000 0.165 0.665



Record 10
Density functional theory data (PBE) for an optimized crystal structure of Sr2BeVNi.

## Properties
VASP energy	-3.6417	eV per atom
SG	P4/mmm
V	147.4	Å³ per cell

Cell lengths 5.706, 4.527, 5.706 Å; angles 90.00, 90.00, 90.00 degrees
Fractional positions:
Sr 0.000 0.000 0.500
Sr 0.500 0.000 0.000
V 0.000 0.500 0.000
Be 0.500 0.500 0.500
Ni 0.000 0.000 0.000



Record 11
Density functional theory data (PBE) for an optimized crystal structure of MgP2PtSe.

## Properties
VASP energy	-4.1650	eV per atom
SG	P4/mmm
V	109.0	Å³ per cell

Cell lengths 4.573, 5.213, 4.573 Å; angles 90.00, 90.00, 90.00 degrees
Fractional positions:
P 0.000 0.000 0.500
P 0.500 0.000 0.000
Mg 0.000 0.500 0.000
Se 0.500 0.500 0.500
Pt 0.000 0.000 0.000



Record 12
Density functional theory data (PBE) for an optimized crystal structure of Sc2ZnCo.

## Properties
VASP energy	-5.6427	eV per atom
SG	P4/mmm
V	68.3	Å³ per cell

Cell lengths 3.165, 3.166, 6.814 Å; angles 90.00, 90.00, 90.00 degrees
Fractional positions:
Sc 0.000 0.000 0.975
Sc 0.000 0.000 0.525
Zn 0.500 0.500 0.250
Co 0.500 0.500 0.750



Record 13
Density functional theory data (PBE) for an optimized crystal structure of SiAg2P.

## Properties
VASP energy	-3.7088	eV per atom
energy relative to the lowest polymorph listed for this composition	0.263	eV per atom
SG	P2/m
V	68.9	Å³ per cell

Cell lengths 4.627, 2.905, 5.163 Å; angles 96.61, 90.00, 90.00 degrees
Fractional positions:
Ag 0.000 0.033 0.992
Ag 0.000 0.467 0.508
P 0.500 0.250 0.250
Si 0.500 0.750 0.750



Record 14
Density functional theory data (PBE) for an optimized crystal structure of Rb3ScSb2O8.

## Properties
VASP energy	-5.9098	eV per atom
SG	P-3m1
V	258.0	Å³ per cell

Cell lengths 6.084, 6.084, 8.049 Å; angles 90.00, 90.00, 120.00 degrees
Fractional positions:
Rb 0.333 0.667 0.692
Rb 0.667 0.333 0.308
Rb 0.000 0.000 0.000
Sc 0.000 0.000 0.500
Sb 0.333 0.667 0.255
Sb 0.667 0.333 0.745
O 0.333 0.667 0.023
O 0.667 0.333 0.977
O 0.164 0.836 0.344
O 0.836 0.164 0.656
O 0.164 0.328 0.344
O 0.836 0.672 0.656
O 0.672 0.836 0.344
O 0.328 0.164 0.656



Record 15
Density functional theory data (PBE) for an optimized crystal structure of PmScIn.

## Properties
VASP energy	-4.8165	eV per atom
energy relative to the lowest polymorph listed for this composition	0.145	eV per atom
SG	I4/mmm
V	164.9	Å³ per cell

Cell lengths 3.378, 3.378, 14.647 Å; angles 96.62, 96.62, 90.00 degrees
Fractional positions:
Pm 0.563 0.563 0.125
Pm 0.437 0.437 0.875
Sc 0.288 0.288 0.576
Sc 0.712 0.712 0.424
In 0.141 0.141 0.282
In 0.859 0.859 0.718



Record 16
Density functional theory data (PBE) for an optimized crystal structure of LaTaPd2I.

## Properties
VASP energy	-5.1067	eV per atom
SG	P4/mmm
V	130.7	Å³ per cell

Cell lengths 5.029, 5.167, 5.029 Å; angles 90.00, 90.00, 90.00 degrees
Fractional positions:
I 0.000 0.000 0.000
La 0.500 0.500 0.500
Pd 0.000 0.000 0.500
Pd 0.500 0.000 0.000
Ta 0.000 0.500 0.000



Record 17
Density functional theory data (PBE) for an optimized crystal structure of LiZrCo.

## Properties
VASP energy	-5.5957	eV per atom
energy relative to the lowest polymorph listed for this composition	0.291	eV per atom
SG	F-43m
V	52.5	Å³ per cell

Cell lengths 4.202, 4.202, 4.202 Å; angles 60.00, 60.00, 60.00 degrees
Fractional positions:
Co 0.750 0.750 0.750
Li 0.000 0.000 0.000
Zr 0.500 0.500 0.500



Record 18
Density functional theory data (PBE) for an optimized crystal structure of K2YC2O6.

## Properties
VASP energy	-7.0417	eV per atom
SG	P-3m1
V	190.9	Å³ per cell

Cell lengths 5.569, 5.569, 7.108 Å; angles 90.00, 90.00, 120.00 degrees
Fractional positions:
K 0.667 0.333 0.692
K 0.333 0.667 0.308
Y 0.000 0.000 0.000
C 0.333 0.667 0.838
C 0.667 0.333 0.162
O 0.198 0.396 0.829
O 0.604 0.802 0.829
O 0.198 0.802 0.829
O 0.802 0.604 0.171
O 0.396 0.198 0.171
O 0.802 0.198 0.171



Record 19
Density functional theory data (PBE) for an optimized crystal structure of Tm4BiC2.

## Properties
VASP energy	-6.2212	eV per atom
energy relative to the lowest polymorph listed for this composition	0.000	eV per atom
SG	Cmcm
V	294.1	Å³ per cell

Cell lengths 3.737, 6.425, 12.800 Å; angles 90.00, 90.00, 106.91 degrees
Fractional positions:
C 0.136 0.272 0.442
C 0.864 0.728 0.942
C 0.136 0.272 0.058
C 0.864 0.728 0.558
Tm 0.757 0.515 0.100
Tm 0.757 0.515 0.400
Tm 0.243 0.485 0.900
Tm 0.243 0.485 0.600
Tm 0.911 0.823 0.750
Tm 0.089 0.177 0.250
Tm 0.500 0.000 0.000
Tm 0.500 0.000 0.500
Bi 0.610 0.220 0.750
Bi 0.390 0.780 0.250



Record 20
Density functional theory data (PBE) for an optimized crystal structure of SrTlSCl2.

## Properties
VASP energy	-3.4012	eV per atom
energy relative to the lowest polymorph listed for this composition	0.156	eV per atom
SG	P4/mmm
V	158.5	Å³ per cell

Cell lengths 5.524, 5.524, 5.193 Å; angles 90.00, 90.00, 90.00 degrees
Fractional positions:
Sr 0.500 0.500 0.500
Tl 0.000 0.000 0.000
S 0.000 0.000 0.500
Cl 0.000 0.500 0.000
Cl 0.500 0.000 0.000